No. 1
Density functional theory data (PBE) for a relaxed Li3Sc3SnS8 crystal.

The structure in POSCAR format:
```
Li3Sc3SnS8
1.0
-1.3758 -0.1836 -7.2732
5.5548 -4.0020 2.8193
-7.0820 -1.9966 1.3900
S Li Sc Sn
8 3 3 1
Cartesian
-3.5154 -3.5751 -3.0138
0.6125 -2.6071 -0.0500
-2.8529 -3.4844 0.6276
-2.8526 -0.6788 -5.1139
-0.7445 -5.5960 -1.6195
-0.0501 -2.6978 -3.6914
-2.1585 -0.5862 -1.4443
-0.0503 -5.5034 2.0501
2.0895 -2.0928 -2.2269
0.0000 0.0000 0.0000
2.7774 -2.0010 1.4097
-0.7636 -2.9993 2.1047
-1.4515 -3.0911 -1.5319
-4.2289 -1.0901 -2.9416
-3.5410 -0.9983 0.6950
```

Output
For the total magnetization, the calculation gives 0.00 μB/cell. As for the raw total energy: -5.5932 eV/atom. The calculation puts the formation energy (no corrections) at -1.476 eV per atom.

No. 2
Density functional theory data (PBE) for a relaxed SrZrW2 crystal.

The structure in POSCAR format:
```
SrZrW2
1.0
-1.4564 -3.9638 3.0013
0.6826 -2.7347 4.3470
-4.2269 3.8555 3.1974
Zr W Sr
1 2 1
Cartesian
-1.2502 -0.7108 2.6364
-1.0616 -6.4126 7.5448
-2.2125 -1.7074 5.0764
-3.7505 -2.1323 7.9093
```

Output
As for the formation energy: 0.946 eV/atom. For the total magnetization, the calculation gives 0.00 μB/cell. As for the raw total energy: -8.0877 eV/atom. As for the energy above the most stable polymorph in this dataset: 428 meV per atom.

No. 3
Density functional theory data (PBE) for a relaxed TmMg2GaAu4 crystal.

The structure in POSCAR format:
```
TmMg2GaAu4
1.0
-4.0759 -2.0059 -1.0231
-0.1117 -3.8236 -2.6554
-0.7771 -6.6278 5.4934
Au Mg Tm Ga
4 2 1 1
Cartesian
-2.6943 -4.6238 -1.3946
-3.9584 -7.5645 -1.1898
-1.0062 -4.8928 3.0047
-2.2703 -7.8335 3.2095
-3.7329 -9.2717 1.2590
-1.2317 -3.1856 0.5559
0.0000 0.0000 0.0000
-2.4823 -6.2286 0.9075
```

Output
As for the formation energy: -0.573 eV/atom. For the total magnetization, the calculation gives 0.00 μB/cell. As for the raw total energy: -3.5477 eV/atom.

No. 4
Density functional theory data (PBE) for a relaxed HoEr12Ni6 crystal.

The structure in POSCAR format:
```
HoEr12Ni6
1.0
-2.0547 7.5675 -3.1210
-6.8046 -3.5282 3.5324
6.0427 0.9043 5.8221
Ho Ni Er
1 6 12
Cartesian
0.0000 0.0000 0.0000
-1.3368 5.7546 1.5052
-1.4798 -0.8110 4.7283
-3.9350 3.0704 0.5407
1.8995 3.9105 2.5108
-4.7161 1.0331 3.7227
1.1184 1.8732 5.6928
-3.3144 4.1982 2.8314
3.4321 2.6417 4.2272
1.1182 6.5851 1.9382
-0.3932 3.3744 0.9145
0.2091 -0.2490 6.9473
-3.0257 5.1926 -0.7138
-2.4234 1.5692 5.3190
-6.2487 2.3018 2.0064
0.4978 0.7454 3.4021
-3.9348 -1.6415 4.2954
-2.8912 0.7710 1.8504
0.0746 4.1726 4.3831
```

Output
As for the formation energy: -0.256 eV/atom. For the total magnetization, the calculation gives 0.00 μB/cell. As for the raw total energy: -5.2046 eV/atom.

No. 5
Density functional theory data (PBE) for a relaxed TlSbPF crystal.

The structure in POSCAR format:
```
TlSbPF
1.0
3.6894 0.0053 0.0004
0.0251 5.6545 -0.1116
1.8045 -0.0130 5.3526
Tl P Sb F
1 1 1 1
Cartesian
5.0452 0.7778 5.1111
3.2363 5.1554 2.5400
1.3940 3.4463 2.6379
1.3927 2.8720 0.6452
```

Output
For the total magnetization, the calculation gives 0.00 μB/cell. As for the raw total energy: -4.1364 eV/atom. The calculation puts the formation energy (no corrections) at -0.694 eV per atom. As for the energy above the most stable polymorph in this dataset: 73 meV per atom.

No. 6
Density functional theory data (PBE) for a relaxed MgRu2RhW crystal.

The structure in POSCAR format:
```
MgRu2RhW
1.0
-3.6708 -2.1044 -1.0986
-0.5755 -1.1286 4.0850
-2.2999 3.6539 0.6855
Mg Rh Ru W
1 1 2 1
Cartesian
0.0000 0.0000 0.0000
-0.2877 -0.5643 2.0425
-1.8354 -1.0522 -0.5493
-1.1499 1.8270 0.3428
-3.2731 0.2104 1.8360
```

Output
As for the formation energy: 1.554 eV/atom. For the total magnetization, the calculation gives 0.00 μB/cell. As for the raw total energy: -6.5365 eV/atom.

No. 7
Density functional theory data (PBE) for a relaxed Ho2NpRhO8 crystal.

The structure in POSCAR format:
```
Ho2NpRhO8
1.0
-2.7097 2.5359 -3.3818
-0.5406 -4.3003 -2.5255
-5.5175 -1.3210 3.4304
Np O Rh Ho
1 8 1 2
Cartesian
0.0000 0.0000 0.0000
-6.4671 -1.8335 1.7057
-2.3008 -1.2518 -4.1826
-5.0826 -1.9256 -2.5097
-2.3098 -3.3924 -1.8208
-6.4580 0.3070 -0.6561
-3.6852 -1.1598 0.0328
-5.0709 -4.0534 -0.1042
-3.6969 0.9681 -2.3727
-2.7588 -0.6605 1.7152
-3.0587 -1.2254 -2.0624
-5.7091 -1.8599 -0.4145
```

Output
For the total magnetization, the calculation gives 1.65 μB/cell. As for the raw total energy: -8.2926 eV/atom. The calculation puts the formation energy (no corrections) at -2.533 eV per atom.

No. 8
Density functional theory data (PBE) for a relaxed Al2Rh crystal.

The structure in POSCAR format:
```
Al2Rh
1.0
1.4750 -6.6967 0.0000
1.4750 6.6967 0.0000
0.0000 0.0000 4.6015
Al Rh
4 2
Cartesian
1.4750 -1.7438 3.4512
1.4750 1.7438 1.1504
1.4750 -5.9159 3.4512
1.4750 5.9159 1.1504
1.4750 2.8021 3.4512
1.4750 -2.8021 1.1504
```

Output
As for the formation energy: -0.565 eV/atom. For the total magnetization, the calculation gives 0.00 μB/cell. As for the raw total energy: -5.5100 eV/atom.

No. 9
Density functional theory data (PBE) for a relaxed LaNdP crystal.

The structure in POSCAR format:
```
LaNdP
1.0
4.0715 0.0000 0.0000
-2.0358 3.5261 0.0000
0.0000 0.0000 6.8876
La P Nd
1 1 1
Cartesian
0.0000 0.0000 0.6340
2.0358 1.1753 2.3183
0.0000 2.3507 3.9353
```

Output
As for the formation energy: -0.943 eV/atom. For the total magnetization, the calculation gives 0.84 μB/cell. As for the raw total energy: -5.9781 eV/atom.

No. 10
Density functional theory data (PBE) for a relaxed PmAlSi crystal.

The structure in POSCAR format:
```
PmAlSi
1.0
4.4452 0.0000 0.0000
0.0000 7.1563 0.0000
0.0000 0.0000 8.7690
Si Al Pm
4 4 4
Cartesian
3.3339 1.0813 2.9025
1.1113 2.4968 7.2870
1.1113 6.0750 5.8665
3.3339 4.6595 1.4820
1.1113 3.6185 5.1053
3.3339 3.5378 3.6637
1.1113 0.0403 8.0482
3.3339 7.1160 0.7208
1.1113 2.5362 1.4310
1.1113 6.1143 2.9535
3.3339 1.0420 5.8155
3.3339 4.6201 7.3380
```

Output
For the total magnetization, the calculation gives 0.00 μB/cell. As for the raw total energy: -5.1554 eV/atom. The calculation puts the formation energy (no corrections) at -0.517 eV per atom. As for the energy above the most stable polymorph in this dataset: 141 meV per atom.

No. 11
Density functional theory data (PBE) for a relaxed Cr3C4 crystal.

The structure in POSCAR format:
```
Cr3C4
1.0
3.9923 0.0000 0.0000
0.0000 3.9923 0.0000
0.0000 0.0000 3.9923
Cr C
3 4
Cartesian
0.0000 0.0000 1.9961
0.0000 1.9961 0.0000
1.9961 0.0000 0.0000
1.9961 1.9961 0.0000
0.0000 0.0000 0.0000
1.9961 0.0000 1.9961
0.0000 1.9961 1.9961
```

Output
As for the formation energy: 0.625 eV/atom. For the total magnetization, the calculation gives 0.24 μB/cell. As for the raw total energy: -8.7696 eV/atom. As for the energy above the most stable polymorph in this dataset: 14 meV per atom.

No. 12
Density functional theory data (PBE) for a relaxed GdLu2Te crystal.

The structure in POSCAR format:
```
GdLu2Te
1.0
-0.4157 1.2173 -3.5832
3.5491 -1.1257 -0.7942
-2.7076 -7.0648 -2.0861
Lu Te Gd
2 1 1
Cartesian
-2.0985 -5.4755 -1.6168
-0.6091 -1.5894 -0.4693
1.5667 0.0458 -2.1887
0.2129 -3.4866 -3.2317
```

Output
For the total magnetization, the calculation gives 7.29 μB/cell. As for the raw total energy: -7.0699 eV/atom. The calculation puts the formation energy (no corrections) at -0.504 eV per atom.

No. 13
Density functional theory data (PBE) for a relaxed KBa2TlIr crystal.

The structure in POSCAR format:
```
KBa2TlIr
1.0
-6.1113 -0.2995 -0.9111
0.9437 -2.9234 -5.3695
-0.1507 -4.8083 2.5914
Ba Tl K Ir
2 1 1 1
Cartesian
-3.0557 -0.1497 -0.4555
0.4719 -1.4617 -2.6847
-0.0754 -2.4041 1.2957
-2.6592 -4.0156 -1.8446
0.0000 0.0000 0.0000
```

Output
As for the formation energy: -0.076 eV/atom. For the total magnetization, the calculation gives 0.00 μB/cell. As for the raw total energy: -3.3100 eV/atom.

No. 14
Density functional theory data (PBE) for a relaxed LiTaAs crystal.

The structure in POSCAR format:
```
LiTaAs
1.0
-3.8994 -5.4394 -1.9965
-1.4915 -5.5257 -3.6258
0.1850 -1.9603 2.1409
Ta Li As
1 1 1
Cartesian
-1.7283 -5.0503 -0.5231
-3.4879 -7.8919 -2.9729
-5.3804 -10.9483 -5.6078
```

Output
As for the formation energy: -0.020 eV/atom. For the total magnetization, the calculation gives 0.00 μB/cell. As for the raw total energy: -6.1585 eV/atom. As for the energy above the most stable polymorph in this dataset: 481 meV per atom.

No. 15
Density functional theory data (PBE) for a relaxed TiBe2Pd2 crystal.

The structure in POSCAR format:
```
TiBe2Pd2
1.0
6.9341 0.0000 0.0000
0.0000 6.9341 0.0000
0.0000 0.0000 2.6905
Ti Pd Be
2 4 4
Cartesian
0.0000 0.0000 0.0000
3.4670 3.4670 0.0000
4.4607 0.9937 0.0000
2.4734 5.9404 0.0000
0.9937 2.4734 0.0000
5.9404 4.4607 0.0000
2.4058 1.0612 1.3452
4.5283 5.8728 1.3452
1.0612 4.5283 1.3452
5.8728 2.4058 1.3452
```

Output
As for the formation energy: -0.355 eV/atom. For the total magnetization, the calculation gives 0.38 μB/cell. As for the raw total energy: -5.5018 eV/atom. As for the energy above the most stable polymorph in this dataset: 116 meV per atom.

No. 16
Density functional theory data (PBE) for a relaxed MgNi3H3 crystal.

The structure in POSCAR format:
```
MgNi3H3
1.0
-0.5446 -4.5852 -1.5549
-1.2341 -1.3815 4.5063
-4.6818 0.8976 -1.0070
Ni H Mg
6 6 2
Cartesian
-3.2664 -0.5874 2.8763
-1.4428 -2.0682 -1.0292
-2.6494 0.1034 0.6231
-1.0255 -4.1297 1.0870
-3.7836 -1.6194 -1.5327
-0.7532 -1.8371 1.8644
-1.1979 -3.3288 2.6023
-2.4770 -0.6975 -0.8922
-2.7494 -2.9901 -1.6696
-1.7875 -0.4664 2.0014
-4.1284 -0.0176 1.4979
-0.5808 -2.6380 0.3491
0.0000 0.0000 0.0000
-3.2302 -2.5346 0.9722
```

Output
For the total magnetization, the calculation gives 0.00 μB/cell. As for the raw total energy: -4.3088 eV/atom.

No. 17
Density functional theory data (PBE) for a relaxed PuSnGeAu crystal.

The structure in POSCAR format:
```
PuSnGeAu
1.0
4.2909 0.0000 0.0000
0.0000 4.2209 0.0000
0.0000 0.0000 4.8605
Pu Ge Sn Au
1 1 1 1
Cartesian
0.0000 2.1104 2.4302
2.1454 0.0000 2.4302
2.1454 2.1104 0.0000
0.0000 0.0000 0.0000
```

Output
As for the formation energy: -0.354 eV/atom. For the total magnetization, the calculation gives 5.44 μB/cell. As for the raw total energy: -6.9113 eV/atom. As for the energy above the most stable polymorph in this dataset: 0 meV per atom.

No. 18
Density functional theory data (PBE) for a relaxed FeW2N crystal.

The structure in POSCAR format:
```
FeW2N
1.0
0.0000 2.9030 2.9030
2.9030 0.0000 2.9030
2.9030 2.9030 0.0000
Fe W N
1 2 1
Cartesian
2.9030 2.9030 2.9030
4.3545 4.3545 4.3545
1.4515 1.4515 1.4515
0.0000 0.0000 0.0000
```

Output
For the total magnetization, the calculation gives 0.00 μB/cell. As for the raw total energy: -9.7179 eV/atom. The calculation puts the formation energy (no corrections) at 0.956 eV per atom. As for the energy above the most stable polymorph in this dataset: 443 meV per atom.

No. 19
Density functional theory data (PBE) for a relaxed TaIr2Cl crystal.

The structure in POSCAR format:
```
TaIr2Cl
1.0
-4.0192 2.5971 -0.1199
-2.5885 -4.0180 -0.2616
-0.1453 -0.0927 2.8626
Cl Ta Ir
1 1 2
Cartesian
-1.3669 -2.0554 1.3005
-2.0823 1.2522 1.3713
-3.3038 -0.7105 -0.1908
0.0000 0.0000 0.0000
```

Output
For the total magnetization, the calculation gives 0.00 μB/cell. As for the raw total energy: -7.1703 eV/atom. The calculation puts the formation energy (no corrections) at 0.685 eV per atom. As for the energy above the most stable polymorph in this dataset: 698 meV per atom.

No. 20
Density functional theory data (PBE) for a relaxed TlRe2Au crystal.

The structure in POSCAR format:
```
TlRe2Au
1.0
-1.1381 -2.9659 -3.3110
-3.9210 0.5452 -2.3202
0.0985 1.3180 -4.3940
Re Tl Au
2 1 1
Cartesian
-1.2401 -0.2757 -2.5063
-3.7204 -0.8270 -7.5189
-2.4803 -0.5513 -5.0126
0.0000 0.0000 0.0000
```

Output
As for the formation energy: 1.117 eV/atom. For the total magnetization, the calculation gives 0.00 μB/cell. As for the raw total energy: -6.5177 eV/atom. As for the energy above the most stable polymorph in this dataset: 713 meV per atom.

No. 21
Density functional theory data (PBE) for a relaxed Ho3ScRu crystal.

The structure in POSCAR format:
```
Ho3ScRu
1.0
7.0969 -0.0325 0.0425
-1.9730 6.8173 -0.0425
-2.8059 -3.2082 5.6767
Sc Ru Ho
2 2 6
Cartesian
-0.4015 5.6305 1.4119
2.7196 -2.0539 4.2648
0.4483 -0.3386 3.5285
1.8698 3.9151 2.1482
3.7244 2.5145 0.8948
2.2993 1.5025 4.0744
-1.4063 1.0621 4.7819
-2.7890 4.1946 4.0319
5.1071 -0.6181 1.6448
0.0188 2.0741 1.6023
```

Output
As for the formation energy: -0.206 eV/atom. For the total magnetization, the calculation gives 0.52 μB/cell. As for the raw total energy: -6.0737 eV/atom.

No. 22
Density functional theory data (PBE) for a relaxed Ce2Dy2Si3 crystal.

The structure in POSCAR format:
```
Ce2Dy2Si3
1.0
4.2501 -0.0042 0.0013
-2.1179 6.7004 -0.1166
-0.0033 -1.1296 6.9471
Si Ce Dy
3 2 2
Cartesian
0.0000 0.0000 0.0000
0.0007 2.4877 5.1648
2.1282 3.0790 1.6670
0.0049 4.8978 0.8295
2.1239 0.6689 6.0023
2.1278 4.2230 4.2971
0.0011 1.3437 2.5347
```

Output
For the total magnetization, the calculation gives 1.52 μB/cell. As for the raw total energy: -5.7318 eV/atom. The calculation puts the formation energy (no corrections) at -0.397 eV per atom.

No. 23
Density functional theory data (PBE) for a relaxed BeNi2P crystal.

The structure in POSCAR format:
```
BeNi2P
1.0
4.1480 -0.0645 0.0189
3.0828 2.7760 0.0189
0.9781 0.3668 3.4994
Ni Be P
2 1 1
Cartesian
7.2604 2.7227 0.2490
6.1408 2.3028 2.4528
2.0693 0.7760 0.7030
4.0735 1.5276 1.9387
```

Output
As for the formation energy: -0.357 eV/atom. For the total magnetization, the calculation gives 0.00 μB/cell. As for the raw total energy: -5.5321 eV/atom. As for the energy above the most stable polymorph in this dataset: 0 meV per atom.